# 1
# Mg14TiMn (PBE, relaxed)
data_Mg14TiMn
_symmetry_space_group_name_H-M 'P -6 m 2'
_symmetry_Int_Tables_number 187
_symmetry_space_group_name_Hall 'P -6 2'
_cell_length_a 6.3123
_cell_length_b 6.3123
_cell_length_c 10.0336
_cell_angle_alpha 90.00
_cell_angle_beta 90.00
_cell_angle_gamma 120.00
loop_
_atom_site_label
_atom_site_type_symbol
_atom_site_fract_x
_atom_site_fract_y
_atom_site_fract_z
Mg1 Mg 0.0000 0.0000 0.2459
Mg2 Mg 0.0119 0.5060 0.2523
Mg3 Mg 0.3329 0.1665 0.5000
Mg4 Mg 0.3391 0.1695 0.0000
Ti1 Ti 0.3333 0.6667 0.0000
Mn1 Mn 0.3333 0.6667 0.5000
# - total magnetization (μB per formula unit) = 4.860
# - E_tot (eV per atom) = -2.37
# - ΔH_f (0 K) (eV/atom) = 0.089
# - E above lowest polymorph (eV/atom) = 0.009

---

# 2
# MgTiMn2 (PBE, relaxed)
data_MgTiMn2
_symmetry_space_group_name_H-M 'I -4 2 d'
_symmetry_Int_Tables_number 122
_symmetry_space_group_name_Hall 'I -4 2bw'
_cell_length_a 3.805
_cell_length_b 3.805
_cell_length_c 17.509
_cell_angle_alpha 90.00
_cell_angle_beta 90.00
_cell_angle_gamma 90.00
loop_
_atom_site_label
_atom_site_type_symbol
_atom_site_fract_x
_atom_site_fract_y
_atom_site_fract_z
Mg1 Mg 0.000 0.000 0.000
Ti1 Ti 0.000 0.000 0.500
Mn1 Mn 0.149 0.250 0.625
# - total magnetization (μB per formula unit) = 0.000
# - E_tot (eV per atom) = -6.23
# - ΔH_f (0 K) (eV/atom) = 0.727

---

# 3
# Mg6TiMn (PBE, relaxed)
data_Mg6TiMn
_symmetry_space_group_name_H-M 'A m m 2'
_symmetry_Int_Tables_number 38
_cell_length_a 4.963
_cell_length_b 6.072
_cell_length_c 10.920
_cell_angle_alpha 90.00
_cell_angle_beta 90.00
_cell_angle_gamma 90.00
loop_
_symmetry_equiv_pos_as_xyz
'x,y,z'
'-x,-y,z'
'-x,y,z'
'x,-y,z'
'x,y+1/2,z+1/2'
'-x,-y+1/2,z+1/2'
'-x,y+1/2,z+1/2'
'x,-y+1/2,z+1/2'
loop_
_atom_site_label
_atom_site_type_symbol
_atom_site_fract_x
_atom_site_fract_y
_atom_site_fract_z
Mg1 Mg 0.000 0.000 0.000
Mg2 Mg 0.000 0.000 0.494
Mg3 Mg 0.000 0.250 0.259
Mg4 Mg 0.500 0.250 0.093
Ti1 Ti 0.500 0.000 0.844
Mn1 Mn 0.500 0.000 0.337
# - total magnetization (μB per formula unit) = 1.997
# - E_tot (eV per atom) = -3.15
# - ΔH_f (0 K) (eV/atom) = 0.174
# - E above lowest polymorph (eV/atom) = 0.028

---

# 4
# Mg6TiMn (PBE, relaxed)
data_Mg6TiMn
_symmetry_space_group_name_H-M 'A m m 2'
_symmetry_Int_Tables_number 38
_cell_length_a 4.869
_cell_length_b 6.122
_cell_length_c 10.997
_cell_angle_alpha 90.00
_cell_angle_beta 90.00
_cell_angle_gamma 90.00
loop_
_symmetry_equiv_pos_as_xyz
'x,y,z'
'-x,-y,z'
'-x,y,z'
'x,-y,z'
'x,y+1/2,z+1/2'
'-x,-y+1/2,z+1/2'
'-x,y+1/2,z+1/2'
'x,-y+1/2,z+1/2'
loop_
_atom_site_label
_atom_site_type_symbol
_atom_site_fract_x
_atom_site_fract_y
_atom_site_fract_z
Mg1 Mg 0.000 0.000 0.000
Mg2 Mg 0.000 0.242 0.252
Mg3 Mg 0.500 0.000 0.840
Mg4 Mg 0.500 0.243 0.593
Ti1 Ti 0.500 0.000 0.360
Mn1 Mn 0.000 0.000 0.483
# - total magnetization (μB per formula unit) = 1.899
# - E_tot (eV per atom) = -3.18
# - ΔH_f (0 K) (eV/atom) = 0.147
# - E above lowest polymorph (eV/atom) = 0.000

---

# 5
# YMg2TiMn (PBE, relaxed)
data_YMg2TiMn
_symmetry_space_group_name_H-M 'P 4/m m m'
_symmetry_Int_Tables_number 123
_symmetry_space_group_name_Hall '-P 4 2'
_cell_length_a 5.395
_cell_length_b 5.395
_cell_length_c 4.623
_cell_angle_alpha 90.00
_cell_angle_beta 90.00
_cell_angle_gamma 90.00
loop_
_atom_site_label
_atom_site_type_symbol
_atom_site_fract_x
_atom_site_fract_y
_atom_site_fract_z
Y1 Y 0.000 0.000 0.000
Mg1 Mg 0.000 0.500 0.000
Ti1 Ti 0.500 0.500 0.500
Mn1 Mn 0.000 0.000 0.500
# - total magnetization (μB per formula unit) = 2.660
# - E_tot (eV per atom) = -3.84
# - ΔH_f (0 K) (eV/atom) = 1.504

---

# 6
# MgMnTl2 (PBE, relaxed)
data_MgMnTl2
_symmetry_space_group_name_H-M 'I -4 m 2'
_symmetry_Int_Tables_number 119
_symmetry_space_group_name_Hall 'I -4 -2'
_cell_length_a 4.308
_cell_length_b 4.308
_cell_length_c 9.814
_cell_angle_alpha 90.00
_cell_angle_beta 90.00
_cell_angle_gamma 90.00
loop_
_atom_site_label
_atom_site_type_symbol
_atom_site_fract_x
_atom_site_fract_y
_atom_site_fract_z
Mg1 Mg 0.000 0.000 0.000
Mn1 Mn 0.000 0.500 0.750
Tl1 Tl 0.000 0.000 0.500
Tl2 Tl 0.000 0.500 0.250
# - total magnetization (μB per formula unit) = 3.903
# - E_tot (eV per atom) = -3.59
# - ΔH_f (0 K) (eV/atom) = 0.285

---

# 7
# MgMnTl2 (PBE, relaxed)
data_MgMnTl2
_symmetry_space_group_name_H-M 'P 4/m m m'
_symmetry_Int_Tables_number 123
_symmetry_space_group_name_Hall '-P 4 2'
_cell_length_a 4.753
_cell_length_b 4.753
_cell_length_c 4.008
_cell_angle_alpha 90.00
_cell_angle_beta 90.00
_cell_angle_gamma 90.00
loop_
_atom_site_label
_atom_site_type_symbol
_atom_site_fract_x
_atom_site_fract_y
_atom_site_fract_z
Mg1 Mg 0.000 0.000 0.000
Mn1 Mn 0.500 0.500 0.000
Tl1 Tl 0.000 0.500 0.500
# - total magnetization (μB per formula unit) = 4.058
# - E_tot (eV per atom) = -3.62
# - ΔH_f (0 K) (eV/atom) = 0.259

---

# 8
# MgMnTl2 (PBE, relaxed)
data_MgMnTl2
_symmetry_space_group_name_H-M 'R -3 m'
_symmetry_Int_Tables_number 166
_symmetry_space_group_name_Hall '-R 3 2"'
_cell_length_a 3.3916
_cell_length_b 3.3916
_cell_length_c 27.8361
_cell_angle_alpha 90.00
_cell_angle_beta 90.00
_cell_angle_gamma 120.00
loop_
_atom_site_label
_atom_site_type_symbol
_atom_site_fract_x
_atom_site_fract_y
_atom_site_fract_z
Mg1 Mg 0.0000 0.0000 0.0000
Mn1 Mn 0.0000 0.0000 0.5000
Tl1 Tl 0.0000 0.0000 0.2467
# - total magnetization (μB per formula unit) = 4.055
# - E_tot (eV per atom) = -3.61
# - ΔH_f (0 K) (eV/atom) = 0.261

---

What is the E_tot in the eighth record?
-3.61 eV per atom